This record from the Alexandria database describes a relaxed structure of Pr4Cd3Hg. The functional is PBE-GGA.

abc: 3.8817 3.8817 15.5127
angles: 90.00 90.00 90.00
Closest atoms and distances in Å follow each position.
Positions (direct):
Pr 0.0000 0.0000 0.1234  4 Hg 3.35, 4 Cd 3.38
Pr 0.0000 0.0000 0.3744  8 Cd 3.35-3.37
Pr 0.0000 0.0000 0.6256  8 Cd 3.35-3.37
Pr 0.0000 0.0000 0.8766  4 Hg 3.35, 4 Cd 3.38
Cd 0.5000 0.5000 0.2505  8 Pr 3.35-3.38
Cd 0.5000 0.5000 0.5000  8 Pr 3.37
Cd 0.5000 0.5000 0.7495  8 Pr 3.35-3.38
Hg 0.5000 0.5000 0.0000  8 Pr 3.35

Calculated values
size of the total moment: 1.8 Bohr magnetons per cell
energy above the most stable polymorph in this dataset: 0.0 meV/atom
formation enthalpy at 0 K: -2.8 eV per formula unit